Record 1
A relaxed structure of TcPt2W. Source: Alexandria, functional GGA-PBEsol.

Cell lengths 2.6951, 2.6951, 8.1011 Å; angles 90.00, 90.00, 90.00 degrees
Space group P4/mmm (No. 123)
Symmetry-distinct sites (fractional):
Tc1 0.0000 0.0000 0.0000
Pt1 0.5000 0.5000 0.2476
W1 0.0000 0.0000 0.5000

* density of states at the Fermi level: 3.9 states/eV/cell
* energy above the most stable polymorph in this dataset: 103 meV per atom

Record 2
A relaxed structure of TiGaTeI2. Source: Alexandria, functional GGA-PBEsol.

Cell lengths 5.5392, 5.5392, 5.3029 Å; angles 90.00, 90.00, 90.00 degrees
Space group P4/mmm (No. 123)
Symmetry-distinct sites (fractional):
Ti1 0.0000 0.0000 0.0000
Ga1 0.5000 0.5000 0.5000
Te1 0.0000 0.0000 0.5000
I1 0.0000 0.5000 0.0000

* density of states at the Fermi level: 3.0 states/eV/cell
* formation energy (no corrections): -0.213 eV per atom

Record 3
A relaxed structure of ReMo3. Source: Alexandria, functional GGA-PBEsol.

Cell lengths 8.7992, 8.7992, 2.7025 Å; angles 90.00, 90.00, 120.00 degrees
Space group R-3m (No. 166, hexagonal axes)
Symmetry-distinct sites (fractional):
Re1 0.0000 0.0000 0.0000
Mo1 0.0000 0.5000 0.0000

* total energy: -12.1231 eV per atom
* density of states at the Fermi level: 10.1 states/eV/cell

density of states at the Fermi level of number 2 (TiGaTeI2)? 3.0 states/eV/cell